The following is a PBE calculation of a relaxed structure of Sm3PdAu2, from the Alexandria database.

```
data_Sm3PdAu2
_cell_length_a 3.6527
_cell_length_b 5.1612
_cell_length_c 8.1218
_cell_angle_alpha 108.53
_cell_angle_beta 90.00
_cell_angle_gamma 90.00
_symmetry_space_group_name_H-M 'P 1'
_symmetry_Int_Tables_number 1
_symmetry_space_group_name_Hall 'P 1'
loop_
_atom_site_label
_atom_site_fract_x
_atom_site_fract_y
_atom_site_fract_z
_atom_site_occupancy
Sm1 0.5000 0.5000 0.0000 1
Sm2 0.5000 0.8373 0.6746 1
Sm3 0.5000 0.1627 0.3254 1
Pd1 0.0000 0.0000 0.0000 1
Au1 0.0000 0.3321 0.6642 1
Au2 0.0000 0.6679 0.3358 1
```

***

The following is a PBE calculation of a relaxed structure of Sm12Pd6Au, from the Alexandria database.

```
data_Sm12Pd6Au
_cell_length_a 8.5138
_cell_length_b 8.5138
_cell_length_c 8.5138
_cell_angle_alpha 100.90
_cell_angle_beta 100.90
_cell_angle_gamma 100.90
_symmetry_space_group_name_H-M 'P 1'
_symmetry_Int_Tables_number 1
_symmetry_space_group_name_Hall 'P 1'
loop_
_atom_site_label
_atom_site_fract_x
_atom_site_fract_y
_atom_site_fract_z
_atom_site_occupancy
Sm1 0.8240 0.5836 0.4273 1
Sm2 0.4273 0.8240 0.5836 1
Sm3 0.5836 0.4273 0.8240 1
Sm4 0.1760 0.4164 0.5727 1
Sm5 0.5727 0.1760 0.4164 1
Sm6 0.4164 0.5727 0.1760 1
Sm7 0.0771 0.9413 0.3272 1
Sm8 0.0587 0.6728 0.9229 1
Sm9 0.6728 0.9229 0.0587 1
Sm10 0.9229 0.0587 0.6728 1
Sm11 0.9413 0.3272 0.0771 1
Sm12 0.3272 0.0771 0.9413 1
Pd1 0.6872 0.8622 0.3828 1
Pd2 0.6172 0.3128 0.1378 1
Pd3 0.1378 0.6172 0.3128 1
Pd4 0.3128 0.1378 0.6172 1
Pd5 0.3828 0.6872 0.8622 1
Pd6 0.8622 0.3828 0.6872 1
Au1 0.0000 0.0000 0.0000 1
```

***

The following is a PBE calculation of a relaxed structure of SmPd2Au8, from the Alexandria database.

## Properties
ΔE to the lowest computed polymorph ... 0.000 eV/atom

```
data_SmPd2Au8
_cell_length_a 4.2178
_cell_length_b 7.4687
_cell_length_c 8.0147
_cell_angle_alpha 117.77
_cell_angle_beta 105.26
_cell_angle_gamma 90.00
_symmetry_space_group_name_H-M 'P 1'
_symmetry_Int_Tables_number 1
_symmetry_space_group_name_Hall 'P 1'
loop_
_atom_site_label
_atom_site_fract_x
_atom_site_fract_y
_atom_site_fract_z
_atom_site_occupancy
Sm1 0.5000 0.0000 0.0000 1
Pd1 0.1759 0.6759 0.3519 1
Pd2 0.8241 0.3241 0.6481 1
Au1 0.6654 0.9032 0.3307 1
Au2 0.3346 0.5725 0.6693 1
Au3 0.1631 0.1631 0.3262 1
Au4 0.0000 0.3007 0.0000 1
Au5 0.8369 0.8369 0.6738 1
Au6 0.6654 0.4275 0.3307 1
Au7 0.3346 0.0968 0.6693 1
Au8 0.0000 0.6993 0.0000 1
```

***

The following is a PBE calculation of a relaxed structure of SmPdAu11, from the Alexandria database.

```
data_SmPdAu11
_cell_length_a 5.5671
_cell_length_b 7.2663
_cell_length_c 7.3780
_cell_angle_alpha 81.18
_cell_angle_beta 67.83
_cell_angle_gamma 66.03
_symmetry_space_group_name_H-M 'P 1'
_symmetry_Int_Tables_number 1
_symmetry_space_group_name_Hall 'P 1'
loop_
_atom_site_label
_atom_site_fract_x
_atom_site_fract_y
_atom_site_fract_z
_atom_site_occupancy
Sm1 0.0000 0.0000 0.0000 1
Pd1 0.5000 0.5000 0.0000 1
Au1 0.2901 0.2133 0.2110 1
Au2 0.7099 0.7867 0.7890 1
Au3 0.4988 0.7867 0.2110 1
Au4 0.5012 0.2133 0.7890 1
Au5 0.3589 0.6495 0.6596 1
Au6 0.6411 0.3505 0.3404 1
Au7 0.9815 0.3505 0.6596 1
Au8 0.0185 0.6495 0.3404 1
Au9 0.0000 0.5000 0.0000 1
Au10 0.5000 0.0000 0.5000 1
Au11 0.0000 0.0000 0.5000 1
```

***

The following is a PBE calculation of a relaxed structure of SmPd7Au3, from the Alexandria database.

```
data_SmPd7Au3
_cell_length_a 5.2316
_cell_length_b 7.2042
_cell_length_c 7.2042
_cell_angle_alpha 83.00
_cell_angle_beta 118.59
_cell_angle_gamma 118.59
_symmetry_space_group_name_H-M 'P 1'
_symmetry_Int_Tables_number 1
_symmetry_space_group_name_Hall 'P 1'
loop_
_atom_site_label
_atom_site_fract_x
_atom_site_fract_y
_atom_site_fract_z
_atom_site_occupancy
Sm1 0.5000 0.5000 0.5000 1
Pd1 0.3480 0.2002 0.2002 1
Pd2 0.3231 0.0548 0.5851 1
Pd3 0.6769 0.4149 0.9452 1
Pd4 0.3231 0.5851 0.0548 1
Pd5 0.0000 0.5000 0.5000 1
Pd6 0.6769 0.9452 0.4149 1
Pd7 0.6520 0.7998 0.7998 1
Au1 0.0000 0.7782 0.2218 1
Au2 0.5000 0.0000 0.0000 1
Au3 0.0000 0.2218 0.7782 1
```

***

The following is a PBE calculation of a relaxed structure of SmPd4Au5, from the Alexandria database.

## Properties
ΔE to the lowest computed polymorph ... 0.000 eV/atom

```
data_SmPd4Au5
_cell_length_a 4.5663
_cell_length_b 7.4428
_cell_length_c 7.2191
_cell_angle_alpha 123.15
_cell_angle_beta 108.44
_cell_angle_gamma 90.00
_symmetry_space_group_name_H-M 'P 1'
_symmetry_Int_Tables_number 1
_symmetry_space_group_name_Hall 'P 1'
loop_
_atom_site_label
_atom_site_fract_x
_atom_site_fract_y
_atom_site_fract_z
_atom_site_occupancy
Sm1 0.5000 0.0000 0.0000 1
Pd1 0.3111 0.0717 0.6222 1
Pd2 0.9587 0.1968 0.9174 1
Pd3 0.6889 0.9283 0.3778 1
Pd4 0.0413 0.8032 0.0826 1
Au1 0.8350 0.3815 0.6699 1
Au2 0.8134 0.7280 0.6267 1
Au3 0.1866 0.2720 0.3732 1
Au4 0.5000 0.5000 0.0000 1
Au5 0.1650 0.6185 0.3300 1
```

***

The following is a PBE calculation of a relaxed structure of SmPd4Au5, from the Alexandria database.

## Properties
ΔE to the lowest computed polymorph ... 0.028 eV/atom

```
data_SmPd4Au5
_cell_length_a 4.8098
_cell_length_b 8.2152
_cell_length_c 9.7624
_cell_angle_alpha 90.00
_cell_angle_beta 90.00
_cell_angle_gamma 90.00
_symmetry_space_group_name_H-M 'P 1'
_symmetry_Int_Tables_number 1
_symmetry_space_group_name_Hall 'P 1'
loop_
_atom_site_label
_atom_site_fract_x
_atom_site_fract_y
_atom_site_fract_z
_atom_site_occupancy
Sm1 0.8539 0.0000 0.0000 1
Sm2 0.1461 0.5000 0.5000 1
Pd1 0.7365 0.0000 0.6975 1
Pd2 0.4077 0.7459 0.0000 1
Pd3 0.4077 0.2541 0.0000 1
Pd4 0.7365 0.0000 0.3025 1
Pd5 0.2635 0.5000 0.1975 1
Pd6 0.5923 0.7541 0.5000 1
Pd7 0.5923 0.2459 0.5000 1
Pd8 0.2635 0.5000 0.8025 1
Au1 0.2460 0.8309 0.7417 1
Au2 0.2460 0.1691 0.7417 1
Au3 0.8468 0.5000 0.0000 1
Au4 0.2460 0.8309 0.2583 1
Au5 0.2460 0.1691 0.2583 1
Au6 0.7540 0.6691 0.2417 1
Au7 0.7540 0.3309 0.2417 1
Au8 0.1532 0.0000 0.5000 1
Au9 0.7540 0.3309 0.7583 1
Au10 0.7540 0.6691 0.7583 1
```

***

The following is a PBE calculation of a relaxed structure of Sm4PdAu3, from the Alexandria database.

```
data_Sm4PdAu3
_cell_length_a 3.8581
_cell_length_b 4.7306
_cell_length_c 11.0283
_cell_angle_alpha 90.00
_cell_angle_beta 90.00
_cell_angle_gamma 90.00
_symmetry_space_group_name_H-M 'P 1'
_symmetry_Int_Tables_number 1
_symmetry_space_group_name_Hall 'P 1'
loop_
_atom_site_label
_atom_site_fract_x
_atom_site_fract_y
_atom_site_fract_z
_atom_site_occupancy
Sm1 0.5000 0.5000 0.3561 1
Sm2 0.0000 0.5000 0.8674 1
Sm3 0.0000 0.0000 0.1361 1
Sm4 0.5000 0.0000 0.6389 1
Pd1 0.5000 0.5000 0.0857 1
Au1 0.0000 0.5000 0.5876 1
Au2 0.0000 0.0000 0.4123 1
Au3 0.5000 0.0000 0.9160 1
```

***

no.,energy of formation (meV/atom)
1,-789
2,-459
3,-226
4,-207
5,-78
6,-285
7,-257
8,-838